[1]
RuSeBr: optimized geometry, GGA-PBE.

Electronic total energy = -4.66 eV per atom
Raw formation energy = 0.147 eV per atom
DOS at the Fermi energy = 0.87 states/eV/atom

Geometry as POSCAR:
```
RuSeBr
1.0
-0.2863 2.9974 -6.5428
-0.5424 -1.3455 -7.0548
-1.7682 -0.7145 6.9453
Br Ru Se
1 1 1
Direct
0.9596 0.9596 0.0000 Br
0.3184 0.3184 0.0000 Ru
0.7220 0.7220 0.0000 Se
```

[2]
RuSe2Br: optimized geometry, GGA-PBE.

Electronic total energy = -3.65 eV per atom
Raw formation energy = 0.832 eV per atom
DOS at the Fermi energy = 1.24 states/eV/atom

Geometry as POSCAR:
```
RuSe2Br
1.0
4.7072 -0.0010 0.0000
-0.0303 4.7071 0.0000
-2.3384 -2.3531 3.3395
Br Ru Se
1 1 2
Direct
0.5000 0.5000 0.0000 Br
0.7500 0.2500 0.5000 Ru
0.0000 0.0000 0.0000 Se
0.2500 0.7500 0.5000 Se
```

[3]
Ru2SeBr: optimized geometry, GGA-PBE.

Electronic total energy = -5.34 eV per atom
Raw formation energy = 0.586 eV per atom
DOS at the Fermi energy = 1.23 states/eV/atom

Geometry as POSCAR:
```
Ru2SeBr
1.0
3.1330 0.0000 0.0000
0.0000 3.1330 0.0000
0.0000 0.0000 6.7140
Br Ru Se
1 2 1
Direct
0.5000 0.5000 0.7500 Br
0.0000 0.0000 0.0412 Ru
0.0000 0.0000 0.4588 Ru
0.5000 0.5000 0.2500 Se
```